# 1
Material: FeAgSb2S
Method: DFT, GGA-PBE
State: optimized geometry

E_form (uncorrected): 0.54 eV per atom
density: 6.125 g/cm3
SG: No. 123
crystal system: tetragonal

The structure in POSCAR format:
```
FeAgSb2S
1.0
5.375 0.000 0.000
0.000 4.122 0.000
0.000 0.000 5.375
Sb S Fe Ag
2 1 1 1
direct
0.000 0.000 0.500
0.500 0.000 0.000
0.000 0.000 0.000
0.000 0.500 0.000
0.500 0.500 0.500
```

***

# 2
Material: Cs2Sc2Sb2S
Method: DFT, GGA-PBE
State: optimized geometry

E_form (uncorrected): -1.04 eV per atom
density: 4.282 g/cm3
SG: No. 139
crystal system: tetragonal

The structure in POSCAR format:
```
Cs2Sc2Sb2S
1.0
4.978 0.000 0.000
0.000 4.978 0.000
-2.489 -2.489 9.880
Cs Sc Sb S
2 2 2 1
direct
0.178 0.178 0.356
0.822 0.822 0.644
0.000 0.500 0.000
0.500 0.000 0.000
0.404 0.404 0.807
0.596 0.596 0.193
0.000 0.000 0.000
```

***

# 3
Material: MgZnMo2
Method: DFT, GGA-PBE
State: optimized geometry

density: 7.172 g/cm3
energy relative to the elements: 0.28 eV/atom
SG: No. 25
crystal system: orthorhombic
offset from the most stable computed form: 152 meV per atom

The structure in POSCAR format:
```
MgZnMo2
1.0
-1.466 0.478 -2.194
0.626 -3.987 -1.288
-4.730 -1.648 2.803
Mg Mo Zn
1 2 1
direct
0.500 0.500 0.738
0.000 0.000 0.018
0.500 0.500 0.239
0.000 0.000 0.506
```

***

# 4
Material: PmPr6Cd2
Method: DFT, GGA-PBE
State: optimized geometry

density: 6.853 g/cm3
energy relative to the elements: -0.07 eV/atom
SG: No. 15
crystal system: monoclinic
offset from the most stable computed form: 62 meV per atom

The structure in POSCAR format:
```
PmPr6Cd2
1.0
-5.398 3.205 0.421
-4.946 -5.790 -6.355
-4.669 -6.871 5.419
Pm Pr Cd
2 12 4
direct
0.250 0.106 0.894
0.750 0.894 0.106
0.491 0.681 0.434
0.009 0.566 0.319
0.509 0.319 0.566
0.991 0.434 0.681
0.665 0.099 0.352
0.835 0.648 0.901
0.335 0.901 0.648
0.165 0.352 0.099
0.311 0.733 0.032
0.189 0.968 0.267
0.689 0.267 0.968
0.811 0.032 0.733
0.407 0.539 0.789
0.093 0.211 0.461
0.593 0.461 0.211
0.907 0.789 0.539
```

***

# 5
Material: MgVPt2Cl
Method: DFT, GGA-PBE
State: optimized geometry

E_form (uncorrected): 0.46 eV per atom
density: 9.073 g/cm3
SG: No. 123
crystal system: tetragonal
offset from the most stable computed form: 369 meV per atom

The structure in POSCAR format:
```
MgVPt2Cl
1.0
4.671 0.000 0.000
0.000 4.201 0.000
0.000 0.000 4.671
Mg Cl Pt V
1 1 2 1
direct
0.500 0.500 0.500
0.000 0.000 0.000
0.000 0.000 0.500
0.500 0.000 0.000
0.000 0.500 0.000
```

***

# 6
Material: ZrMn2Ag
Method: DFT, GGA-PBE
State: optimized geometry

density: 7.635 g/cm3
energy relative to the elements: 0.20 eV/atom
SG: No. 139
crystal system: tetragonal
offset from the most stable computed form: 113 meV per atom

The structure in POSCAR format:
```
ZrMn2Ag
1.0
-3.756 -2.289 -2.209
1.804 -2.362 -3.923
1.451 -0.032 4.703
Ag Mn Zr
1 2 1
direct
0.250 0.750 0.500
0.000 0.000 0.000
0.500 0.500 0.000
0.750 0.250 0.500
```

***

What is the density in the fourth record?
6.853 g/cm3

***

Copy entry 1 word for word.
Material: FeAgSb2S
Method: DFT, GGA-PBE
State: optimized geometry

E_form (uncorrected): 0.54 eV per atom
density: 6.125 g/cm3
SG: No. 123
crystal system: tetragonal

The structure in POSCAR format:
```
FeAgSb2S
1.0
5.375 0.000 0.000
0.000 4.122 0.000
0.000 0.000 5.375
Sb S Fe Ag
2 1 1 1
direct
0.000 0.000 0.500
0.500 0.000 0.000
0.000 0.000 0.000
0.000 0.500 0.000
0.500 0.500 0.500
```